Record 1
{"formula": "MoAuSe2Br", "functional": "PBE-GGA", "state": "relaxed", "cell": [[4.856, 0.000, 0.000], [0.000, 4.856, 0.000], [0.000, 0.000, 5.313]], "species": ["Mo", "Au", "Se", "Se", "Br"], "fractional_positions": [[0.000, 0.000, 0.000], [0.500, 0.500, 0.500], [0.000, 0.500, 0.000], [0.500, 0.000, 0.000], [0.000, 0.000, 0.500]], "e_form_raw_ev_per_atom": 0.388, "rho_g_cm3": 7.035, "relative_energy_mev_per_atom": 0}

=====

Record 2
{"formula": "AuBrN2", "functional": "PBE-GGA", "state": "relaxed", "cell": [[1.694, 0.978, 6.046], [-1.694, 0.978, 6.046], [0.000, -1.956, 6.046]], "species": ["Au", "Br", "N", "N"], "fractional_positions": [[0.000, 0.000, 0.000], [0.500, 0.500, 0.500], [0.385, 0.385, 0.385], [0.615, 0.615, 0.615]], "e_form_raw_ev_per_atom": 1.355, "rho_g_cm3": 8.425, "relative_energy_mev_per_atom": 0}

=====

Record 3
{"formula": "AuBr2N", "functional": "PBE-GGA", "state": "relaxed", "cell": [[0.000, 3.457, 3.457], [3.457, 0.000, 3.457], [3.457, 3.457, 0.000]], "species": ["Au", "Br", "Br", "N"], "fractional_positions": [[0.000, 0.000, 0.000], [0.250, 0.250, 0.250], [0.750, 0.750, 0.750], [0.500, 0.500, 0.500]], "e_form_raw_ev_per_atom": 1.537, "rho_g_cm3": 7.451, "relative_energy_mev_per_atom": 310}

=====

Record 4
{"formula": "Au2BrN2", "functional": "PBE-GGA", "state": "relaxed", "cell": [[-1.989, 1.989, 5.853], [1.989, -1.989, 5.853], [1.989, 1.989, -5.853]], "species": ["Au", "Au", "Br", "N", "N"], "fractional_positions": [[0.185, 0.185, 0.000], [0.815, 0.815, 0.000], [0.500, 0.500, 0.000], [0.250, 0.750, 0.500], [0.750, 0.250, 0.500]], "e_form_raw_ev_per_atom": 1.359, "rho_g_cm3": 8.995, "relative_energy_mev_per_atom": 1208}

=====

Record 5
{"formula": "AuBr2N", "functional": "PBE-GGA", "state": "relaxed", "cell": [[2.047, 1.182, 7.643], [-2.047, 1.182, 7.643], [0.000, -2.363, 7.643]], "species": ["Au", "Br", "Br", "N"], "fractional_positions": [[0.000, 0.000, 0.000], [0.104, 0.104, 0.104], [0.896, 0.896, 0.896], [0.500, 0.500, 0.500]], "e_form_raw_ev_per_atom": 1.311, "rho_g_cm3": 5.552, "relative_energy_mev_per_atom": 84}

=====

Record 6
{"formula": "AuBrN2", "functional": "PBE-GGA", "state": "relaxed", "cell": [[1.693, 0.977, 6.138], [-1.693, 0.977, 6.138], [0.000, -1.954, 6.138]], "species": ["Au", "Br", "N", "N"], "fractional_positions": [[0.000, 0.000, 0.000], [0.500, 0.500, 0.500], [0.109, 0.109, 0.109], [0.891, 0.891, 0.891]], "e_form_raw_ev_per_atom": 1.813, "rho_g_cm3": 8.311, "relative_energy_mev_per_atom": 458}